Record 1
DFT (SCAN) results for a PBEsol-optimized structure of CoSbI2Br.

The magnetization comes out at 1.5 μB/f.u. Its mass density is 6558 kg/m³. The calculation puts the energy relative to the elements, uncorrected at 0.284 eV per atom.

```
5
Lattice="-1.644 -0.557 4.607 4.272 -2.595 1.211 2.292 4.402 1.350" Properties=species:S:1:pos:R:3 pbc="T T T"
I 1.146 2.201 0.675
Co 0.000 0.000 0.000
Br 2.460 0.625 3.584
Sb -0.822 -0.278 2.304
I 2.136 -1.298 0.606
```

=====

Record 2
DFT (SCAN) results for a PBEsol-optimized structure of MgSb2IN.

The magnetization comes out at 0.0 μB/f.u. Its mass density is 6161 kg/m³. The calculation puts the energy relative to the elements, uncorrected at 0.710 eV per atom.

```
5
Lattice="4.736 0.000 0.000 0.000 4.736 0.000 0.000 0.000 4.911" Properties=species:S:1:pos:R:3 pbc="T T T"
N 0.000 0.000 0.000
Sb 0.000 2.368 0.000
Sb 2.368 0.000 0.000
Mg 2.368 2.368 2.456
I 0.000 0.000 2.456
```

=====

Record 3
DFT (SCAN) results for a PBEsol-optimized structure of GaB2Ir2.

The magnetization comes out at 0.0 μB/f.u. Its mass density is 13948 kg/m³. Its energy of formation from the pure elements is -0.341 eV per atom.

```
5
Lattice="-2.094 0.316 -2.232 -0.332 -3.057 -0.122 -3.123 1.676 5.288" Properties=species:S:1:pos:R:3 pbc="T T T"
Ir -2.282 -1.295 -0.163
Ir -3.266 0.231 3.096
Ga 0.000 0.000 0.000
B -2.334 -1.375 1.994
B -3.215 0.311 0.939
```

=====

Record 4
DFT (SCAN) results for a PBEsol-optimized structure of Li2V2O5F2.

The magnetization comes out at 0.0 μB/f.u. Its mass density is 3159 kg/m³. The calculation puts the relative energy among the computed polymorphs at 0.0 meV per atom. The calculation puts the energy relative to the elements, uncorrected at -2.659 eV per atom.

```
22
Lattice="6.775 0.055 -0.039 3.176 6.259 -0.089 -3.176 -2.191 5.863" Properties=species:S:1:pos:R:3 pbc="T T T"
V 1.702 4.960 2.654
O 2.920 4.397 3.928
O 1.566 3.642 1.730
F 5.137 0.798 3.946
Li 3.431 1.320 3.481
F 3.752 -0.285 1.990
O 3.779 1.786 0.168
O 4.953 3.692 1.743
Li 1.777 -0.699 2.385
O -0.340 -0.301 1.943
Li 5.165 1.614 5.610
O 5.093 3.670 5.443
O 6.307 1.877 0.292
O 7.166 4.538 4.016
V 3.584 -1.902 5.725
V 5.089 3.266 0.190
O 3.048 2.165 5.383
F 0.364 2.070 5.393
F 1.750 0.593 3.714
Li 0.043 1.207 3.379
O 1.705 0.150 0.506
V 0.197 -1.991 5.657
```